(1)
VASP calculation (PBE) on crystalline Ca2MnBr2 at its relaxed geometry.

The space group is I4/mmm (No. 139) and the conventional cell measures 5.977, 5.977 and 8.122 Å, with angles of 90.00, 90.00 and 90.00 degrees. The inequivalent atoms are Ca at (0.000, 0.500, 0.250), Mn at (0.000, 0.000, 0.000) and Br at (0.000, 0.000, 0.294).

---

(2)
VASP calculation (PBE) on crystalline Ca2MnBr at its relaxed geometry.

The space group is Cm (No. 8) and the conventional cell measures 11.979, 3.811 and 4.924 Å, with angles of 90.00, 95.02 and 90.00 degrees. The inequivalent atoms are Ca at (0.000, 0.000, 0.000), Ca at (0.215, 0.500, 0.532), Mn at (0.456, 0.000, 0.497) and Br at (0.261, 0.000, 0.051).

---

(3)
VASP calculation (PBE) on crystalline CaMn2Br at its relaxed geometry.

The space group is I-4m2 (No. 119) and the conventional cell measures 4.522, 4.522 and 9.206 Å, with angles of 90.00, 90.00 and 90.00 degrees. The inequivalent atoms are Ca at (0.000, 0.000, 0.000), Mn at (0.000, 0.000, 0.500), Mn at (0.000, 0.500, 0.750) and Br at (0.000, 0.500, 0.250).

---

(4)
VASP calculation (PBE) on crystalline CaMnBr2 at its relaxed geometry.

The space group is R-3m (No. 166, hexagonal axes) and the conventional cell measures 3.9238, 3.9238 and 27.4132 Å, with angles of 90.00, 90.00 and 120.00 degrees. The inequivalent atoms are Ca at (0.0000, 0.0000, 0.0000), Mn at (0.0000, 0.0000, 0.5000) and Br at (0.0000, 0.0000, 0.1114).

---

(5)
VASP calculation (PBE) on crystalline CaMn2Br at its relaxed geometry.

The space group is R-3m (No. 166, hexagonal axes) and the conventional cell measures 3.5217, 3.5217 and 27.5126 Å, with angles of 90.00, 90.00 and 120.00 degrees. The inequivalent atoms are Ca at (0.0000, 0.0000, 0.0000), Mn at (0.0000, 0.0000, 0.2412) and Br at (0.0000, 0.0000, 0.5000).

---

(6)
VASP calculation (PBE) on crystalline CaMn2Br at its relaxed geometry.

The space group is Pm (No. 6) and the conventional cell measures 3.631, 3.529 and 7.812 Å, with angles of 90.00, 103.38 and 90.00 degrees. The inequivalent atoms are Ca at (0.000, 0.000, 0.000), Mn at (0.364, 0.500, 0.726), Mn at (0.797, 0.000, 0.591) and Br at (0.605, 0.500, 0.211).

---

So what do the calculations give for magnetization? Going down the list: 1.682, 3.480, 8.724, 4.410, 8.782, 7.893 μB/f.u..
So what do the calculations give for ΔE_f (raw)? Going down the list: -0.443, -0.239, 0.418, -0.534, 0.403, 0.038 eV per atom.
So what do the calculations give for total DFT energy (no corrections)? Going down the list: -3.747, -3.951, -5.086, -4.163, -5.100, -5.465 eV per atom.